Entry from Alexandria: a relaxed structure of CaCuNiGe2 (PBE).

Cell lengths 4.141, 4.141, 5.829 Å; angles 110.81, 110.81, 90.00 degrees
Positions (direct):
Ca: 0.000 0.000 0.000
Cu: 0.250 0.750 0.500
Ni: 0.750 0.250 0.500
Ge: 0.628 0.628 0.255
Ge: 0.372 0.372 0.745

## Properties
Its crystal system is tetragonal. The value obtained for the magnetization is 0.0 μB/f.u. The calculation puts the mass density at 5.91 g cm⁻³. The energy of formation from the pure elements is -0.45 eV/atom.

***

Entry from Alexandria: a relaxed structure of K2Au3Cl6 (PBE).

Cell lengths 8.387, 8.394, 15.522 Å; angles 74.68, 74.33, 60.03 degrees
Last column: magnetic moment on the atom in μB.
Positions (direct):
K: 0.337 0.836 0.991  0.00
K: 0.836 0.336 0.491  0.00
K: 0.663 0.164 0.009  0.00
K: 0.164 0.664 0.509  0.00
Au: 0.079 0.926 0.748  0.17
Au: 0.423 0.250 0.750  0.17
Au: 0.754 0.574 0.752  0.17
Au: 0.246 0.426 0.248  0.17
Au: 0.921 0.074 0.252  0.17
Au: 0.577 0.750 0.250  0.17
Cl: 0.022 0.864 0.901  0.09
Cl: 0.361 0.214 0.903  0.09
Cl: 0.720 0.518 0.905  0.09
Cl: 0.213 0.364 0.401  0.09
Cl: 0.857 0.018 0.405  0.09
Cl: 0.522 0.714 0.403  0.09
Cl: 0.978 0.136 0.099  0.09
Cl: 0.639 0.786 0.097  0.09
Cl: 0.280 0.482 0.095  0.09
Cl: 0.787 0.636 0.599  0.09
Cl: 0.143 0.982 0.595  0.09
Cl: 0.478 0.286 0.597  0.09

## Properties
Its crystal system is monoclinic. The value obtained for the magnetization is 1.2 μB/f.u. The energy relative to the elements, uncorrected is -797 meV/atom. The calculation puts the mass density at 3.25 g cm⁻³.

***

Entry from Alexandria: a relaxed structure of Ce4Si3Ge (PBE).

Cell lengths 4.422, 3.912, 10.914 Å; angles 90.00, 90.00, 90.00 degrees
Last column: magnetic moment on the atom in μB.
Positions (direct):
Ce: 0.500 0.500 0.361  0.72
Ce: 0.000 0.500 0.857  0.72
Ce: 0.000 0.000 0.143  0.75
Ce: 0.500 0.000 0.641  0.69
Si: 0.000 0.500 0.571  -0.01
Si: 0.000 0.000 0.429  -0.01
Si: 0.500 0.000 0.924  -0.01
Ge: 0.500 0.500 0.074  -0.01

## Properties
Its crystal system is orthorhombic. The value obtained for the magnetization is 3.9 μB/f.u. The energy relative to the elements, uncorrected is -657 meV/atom. The calculation puts the mass density at 6.31 g cm⁻³.

***

Entry from Alexandria: a relaxed structure of BaYSb2I (PBE).

Cell lengths 5.793, 5.793, 6.137 Å; angles 90.00, 90.00, 90.00 degrees
Positions (direct):
I: 0.000 0.000 0.500
Sb: 0.000 0.500 0.000
Sb: 0.500 0.000 0.000
Y: 0.000 0.000 0.000
Ba: 0.500 0.500 0.500

## Properties
Its crystal system is tetragonal. The value obtained for the magnetization is 0.0 μB/f.u. The distance to the lowest polymorph of the same formula comes out at 0 meV/atom. The energy relative to the elements, uncorrected is -751 meV/atom. The calculation puts the mass density at 4.81 g cm⁻³.

***

Entry from Alexandria: a relaxed structure of MnMo3 (PBE).

Cell lengths 2.704, 2.704, 8.574 Å; angles 90.00, 90.00, 108.53 degrees
Last column: magnetic moment on the atom in μB.
Positions (direct):
Mo: 0.000 0.000 0.500  0.03
Mo: 0.500 0.500 0.237  -0.15
Mo: 0.500 0.500 0.763  -0.15
Mn: 0.000 0.000 0.000  1.88

## Properties
Its crystal system is orthorhombic. The value obtained for the magnetization is 1.6 μB/f.u. The calculation puts the mass density at 9.57 g cm⁻³. The energy of formation from the pure elements is 0.05 eV/atom.

***

Entry from Alexandria: a relaxed structure of Ce2PmAs2Rh7 (PBE).

Cell lengths 4.112, 4.112, 13.257 Å; angles 81.48, 81.48, 89.78 degrees
Last column: magnetic moment on the atom in μB.
Positions (direct):
Ce: 0.840 0.840 0.346  -0.12
Ce: 0.160 0.160 0.654  -0.12
Pm: 0.000 0.000 0.000  0.00
As: 0.626 0.626 0.733  0.00
As: 0.374 0.374 0.267  0.00
Rh: 0.500 0.500 0.000  0.01
Rh: 0.288 0.288 0.461  0.02
Rh: 0.712 0.712 0.539  0.02
Rh: 0.921 0.421 0.166  0.00
Rh: 0.421 0.921 0.166  0.00
Rh: 0.579 0.079 0.834  0.00
Rh: 0.079 0.579 0.834  0.00

## Properties
Its crystal system is monoclinic. The value obtained for the magnetization is 0.2 μB/f.u. The calculation puts the mass density at 9.81 g cm⁻³. The energy of formation from the pure elements is -0.72 eV/atom.

***

Entry from Alexandria: a relaxed structure of BeTeAs2 (PBE).

Cell lengths 6.873, 6.873, 6.873 Å; angles 31.46, 31.46, 31.46 degrees
Positions (direct):
Be: 0.250 0.250 0.250
As: 0.975 0.975 0.975
As: 0.525 0.525 0.525
Te: 0.750 0.750 0.750

## Properties
Its crystal system is trigonal. The value obtained for the magnetization is 0.0 μB/f.u. The distance to the lowest polymorph of the same formula comes out at 179 meV/atom. The energy relative to the elements, uncorrected is 233 meV/atom. The calculation puts the mass density at 6.06 g cm⁻³.

***

Entry from Alexandria: a relaxed structure of In2Rh (PBE).

Cell lengths 12.388, 12.388, 12.388 Å; angles 165.31, 165.31, 20.84 degrees
Positions (direct):
In: 0.930 0.930 0.000
In: 0.820 0.320 0.500
In: 0.070 0.070 0.000
In: 0.680 0.180 0.500
Rh: 0.500 0.500 0.000
Rh: 0.250 0.750 0.500

## Properties
Its crystal system is tetragonal. The value obtained for the magnetization is 0.0 μB/f.u. The calculation puts the mass density at 9.03 g cm⁻³. The energy of formation from the pure elements is -0.23 eV/atom.

***

Entry from Alexandria: a relaxed structure of Zr2Ga3Ge (PBE).

Cell lengths 3.817, 6.508, 10.200 Å; angles 109.54, 90.00, 107.06 degrees
Positions (direct):
Zr: 0.507 0.014 0.839
Zr: 0.493 0.986 0.161
Zr: 0.777 0.553 0.146
Zr: 0.223 0.447 0.854
Ga: 0.294 0.588 0.606
Ga: 0.969 0.937 0.613
Ga: 0.636 0.271 0.622
Ga: 0.364 0.729 0.378
Ga: 0.031 0.063 0.387
Ga: 0.706 0.412 0.394
Ge: 0.888 0.777 0.948
Ge: 0.112 0.223 0.052

## Properties
Its crystal system is monoclinic. The value obtained for the magnetization is 0.0 μB/f.u. The calculation puts the mass density at 6.79 g cm⁻³. The energy of formation from the pure elements is -0.43 eV/atom.

***

Entry from Alexandria: a relaxed structure of Pr6InCo (PBE).

Cell lengths 6.466, 8.198, 6.561 Å; angles 51.34, 80.36, 74.45 degrees
Positions (direct):
Pr: 0.786 0.582 0.616
Pr: 0.786 0.199 0.384
Pr: 0.214 0.801 0.616
Pr: 0.214 0.418 0.384
Pr: 0.608 0.787 0.000
Pr: 0.392 0.213 0.000
In: 0.000 0.000 0.000
Co: 0.500 0.500 0.000

## Properties
Its crystal system is monoclinic. The value obtained for the magnetization is 0.0 μB/f.u. The calculation puts the mass density at 6.47 g cm⁻³. The energy of formation from the pure elements is -0.03 eV/atom.

***

Entry from Alexandria: a relaxed structure of MgReRh2Cl (PBE).

Cell lengths 4.643, 5.436, 4.643 Å; angles 90.00, 90.00, 90.00 degrees
Positions (direct):
Re: 0.000 0.000 0.000
Mg: 0.000 0.500 0.000
Rh: 0.000 0.000 0.500
Rh: 0.500 0.000 0.000
Cl: 0.500 0.500 0.500

## Properties
Its crystal system is tetragonal. The value obtained for the magnetization is 0.0 μB/f.u. The energy relative to the elements, uncorrected is 903 meV/atom. The calculation puts the mass density at 6.40 g cm⁻³.

***

Entry from Alexandria: a relaxed structure of ZrTe2Pt (PBE).

Cell lengths 9.227, 9.227, 9.227 Å; angles 23.18, 23.18, 23.18 degrees
Positions (direct):
Te: 0.906 0.906 0.906
Te: 0.094 0.094 0.094
Zr: 0.500 0.500 0.500
Pt: 0.000 0.000 0.000

## Properties
Its crystal system is trigonal. The value obtained for the magnetization is 0.0 μB/f.u. The distance to the lowest polymorph of the same formula comes out at 405 meV/atom. The energy relative to the elements, uncorrected is -257 meV/atom. The calculation puts the mass density at 8.41 g cm⁻³.

***

Entry from Alexandria: a relaxed structure of La2AsRu (PBE).

Cell lengths 5.000, 5.000, 5.000 Å; angles 60.00, 60.00, 60.00 degrees
Positions (direct):
Ru: 0.750 0.750 0.750
As: 0.500 0.500 0.500
La: 0.000 0.000 0.000
La: 0.250 0.250 0.250

## Properties
Its crystal system is cubic. The value obtained for the magnetization is 0.0 μB/f.u. The calculation puts the mass density at 8.53 g cm⁻³. The energy of formation from the pure elements is -0.28 eV/atom.

***

Entry from Alexandria: a relaxed structure of La2YEr5 (PBE).

Cell lengths 9.849, 6.670, 10.786 Å; angles 120.62, 117.17, 90.00 degrees
Positions (direct):
La: 0.178 0.463 0.858
La: 0.681 0.963 0.858
La: 0.822 0.537 0.142
La: 0.319 0.037 0.142
Y: 0.000 0.000 0.500
Y: 0.500 0.500 0.500
Er: 0.475 0.449 0.791
Er: 0.932 0.750 0.000
Er: 0.068 0.250 0.000
Er: 0.898 0.639 0.612
Er: 0.102 0.361 0.388
Er: 0.714 0.139 0.612
Er: 0.286 0.861 0.388
Er: 0.525 0.551 0.209
Er: 0.316 0.949 0.791
Er: 0.684 0.051 0.209

## Properties
Its crystal system is monoclinic. The value obtained for the magnetization is 0.0 μB/f.u. The distance to the lowest polymorph of the same formula comes out at 139 meV/atom. The calculation puts the mass density at 7.73 g cm⁻³. The energy of formation from the pure elements is 0.18 eV/atom.

***

Entry from Alexandria: a relaxed structure of CaZnAu2 (PBE).

Cell lengths 4.912, 4.912, 9.274 Å; angles 74.64, 74.64, 90.00 degrees
Positions (direct):
Zn: 0.000 0.000 0.000
Zn: 0.750 0.250 0.500
Au: 0.734 0.125 0.250
Au: 0.016 0.625 0.250
Au: 0.375 0.266 0.750
Au: 0.875 0.984 0.750
Ca: 0.500 0.500 0.000
Ca: 0.250 0.750 0.500

## Properties
Its crystal system is tetragonal. The value obtained for the magnetization is 0.0 μB/f.u. The calculation puts the mass density at 7.99 g cm⁻³. The energy of formation from the pure elements is -0.30 eV/atom.

***

Entry from Alexandria: a relaxed structure of Mn2SnH2 (PBE).

Cell lengths 2.997, 2.997, 6.342 Å; angles 76.33, 76.33, 90.00 degrees
Last column: magnetic moment on the atom in μB.
Positions (direct):
H: 0.750 0.250 0.500  -0.03
H: 0.250 0.750 0.500  -0.03
Mn: 0.338 0.338 0.324  2.86
Mn: 0.662 0.662 0.676  2.86
Sn: 0.000 0.000 0.000  -0.09

## Properties
Its crystal system is tetragonal. The value obtained for the magnetization is 5.7 μB/f.u. Its total energy is -5.69 eV per atom. The calculation puts the mass density at 7.13 g cm⁻³.

***

Entry from Alexandria: a relaxed structure of SbTeIr (PBE).

Cell lengths 4.713, 4.713, 4.713 Å; angles 60.00, 60.00, 60.00 degrees
Positions (direct):
Ir: 0.000 0.000 0.000
Sb: 0.500 0.500 0.500
Te: 0.750 0.750 0.750

## Properties
Its crystal system is cubic. The value obtained for the magnetization is 0.0 μB/f.u. The energy relative to the elements, uncorrected is 801 meV/atom. The calculation puts the mass density at 9.91 g cm⁻³.

***

Entry from Alexandria: a relaxed structure of Zn2ReSe (PBE).

Cell lengths 2.983, 2.983, 7.951 Å; angles 90.00, 90.00, 90.00 degrees
Positions (direct):
Re: 0.000 0.000 0.501
Se: 0.500 0.500 0.679
Zn: 0.000 0.000 0.048
Zn: 0.500 0.500 0.273

## Properties
Its crystal system is tetragonal. The value obtained for the magnetization is 0.0 μB/f.u. The distance to the lowest polymorph of the same formula comes out at 19 meV/atom. The energy relative to the elements, uncorrected is 211 meV/atom. The calculation puts the mass density at 9.29 g cm⁻³.

***

Entry from Alexandria: a relaxed structure of AuClF2 (PBE).

Cell lengths 4.140, 4.140, 8.212 Å; angles 75.40, 75.40, 90.00 degrees
Last column: magnetic moment on the atom in μB.
Positions (direct):
F: 0.697 0.125 0.250  0.31
F: 0.053 0.625 0.250  0.31
F: 0.375 0.303 0.750  0.32
F: 0.875 0.947 0.750  0.31
Au: 0.000 0.000 0.000  0.56
Au: 0.750 0.250 0.500  0.56
Cl: 0.500 0.500 0.000  0.66
Cl: 0.250 0.750 0.500  0.66

## Properties
Its crystal system is tetragonal. The value obtained for the magnetization is 2.0 μB/f.u. The distance to the lowest polymorph of the same formula comes out at 672 meV/atom. The energy relative to the elements, uncorrected is -100 meV/atom. The calculation puts the mass density at 6.83 g cm⁻³.

***

Entry from Alexandria: a relaxed structure of Sr2TaAlO6 (PBE).

Cell lengths 3.964, 3.964, 7.890 Å; angles 90.00, 90.00, 90.00 degrees
Positions (direct):
Sr: 0.000 0.000 0.716
Sr: 0.000 0.000 0.284
Ta: 0.500 0.500 0.000
Al: 0.500 0.500 0.500
O: 0.500 0.000 0.000
O: 0.500 0.000 0.500
O: 0.000 0.500 0.000
O: 0.000 0.500 0.500
O: 0.500 0.500 0.749
O: 0.500 0.500 0.251

## Properties
Its crystal system is tetragonal. The value obtained for the magnetization is 0.0 μB/f.u. The energy relative to the elements, uncorrected is -3019 meV/atom. The calculation puts the mass density at 6.42 g cm⁻³.